Compound: Ca3TlP
Source: Alexandria via LeMat-Bulk
Functional: GGA-PBEsol
Structure: optimized geometry

Results
formation energy from the elements: -0.742 eV per atom
distance to the lowest polymorph of the same formula: 0 meV per atom
total energy: -3.71 eV/atom
spin magnetization: 0.00 μB per formula unit
DOS at the Fermi energy: 1.42 states/eV/f.u.

CIF file:
```
data_Ca3TlP
_chemical_formula_sum 'Ca3 Tl1 P1'
_cell_length_a 3.994
_cell_length_b 3.994
_cell_length_c 9.071
_cell_angle_alpha 90.00
_cell_angle_beta 90.00
_cell_angle_gamma 90.00
_space_group_name_H-M_alt 'P 4/m m m'
_space_group_IT_number 123
_space_group_name_Hall '-P 4 2'
loop_
_atom_site_label
_atom_site_type_symbol
_atom_site_fract_x
_atom_site_fract_y
_atom_site_fract_z
Ca1 Ca 0.000 0.000 0.000
Ca2 Ca 0.500 0.500 0.302
Tl1 Tl 0.000 0.000 0.500
P1 P 0.500 0.500 0.000
```